# AlCdPb2

A relaxed structure of AlCdPb2 (PBEsol, the Alexandria database).

Calculated values
Formation energy from the elements in eV/atom: 0.21
Space-group type: F-43m (216)

a b c (Å): 5.2495 5.2495 5.2495
angles (deg): 60.00 60.00 60.00
Atoms (fractional coordinates):
1 Pb 0.0000 0.0000 0.0000
2 Pb 0.7500 0.7500 0.7500
3 Al 0.5000 0.5000 0.5000
4 Cd 0.2500 0.2500 0.2500